No. 1
! Mg4Sc3Fe GGA-PBE optimized geometry; values from VASP
&SYSTEM
  ibrav = 0, nat = 8, ntyp = 3
/
ATOMIC_SPECIES
Mg 24.30 Mg.upf
Sc 44.96 Sc.upf
Fe 55.84 Fe.upf
CELL_PARAMETERS angstrom
-5.277 -1.642 1.541
2.079 -2.042 4.943
-0.866 5.104 2.473
ATOMIC_POSITIONS crystal
Mg 0.000 0.000 0.500
Mg 0.500 0.000 0.000
Mg 0.500 0.500 0.500
Mg 0.000 0.500 0.000
Sc 0.500 0.500 0.000
Sc 0.500 0.000 0.500
Sc 0.000 0.500 0.500
Fe 0.000 0.000 0.000
! Total energy: -28.1 eV/cell

No. 2
! SrPm GGA-PBE optimized geometry; values from VASP
&SYSTEM
  ibrav = 0, nat = 2, ntyp = 2
/
ATOMIC_SPECIES
Sr 87.62 Sr.upf
Pm 145.00 Pm.upf
CELL_PARAMETERS angstrom
-1.920 -1.972 -2.733
1.555 -1.879 3.016
-5.494 0.762 3.309
ATOMIC_POSITIONS crystal
Sr 0.333 0.667 0.250
Pm 0.667 0.333 0.750
! Total energy: -6.1 eV/cell
! Offset from the most stable computed form: 0 meV/atom

No. 3
! BeHgB GGA-PBE optimized geometry; values from VASP
&SYSTEM
  ibrav = 0, nat = 3, ntyp = 3
/
ATOMIC_SPECIES
Hg 200.59 Hg.upf
Be 9.01 Be.upf
B 10.81 B.upf
CELL_PARAMETERS angstrom
3.335 -1.802 0.781
-0.031 -3.620 1.368
1.189 -2.925 -2.238
ATOMIC_POSITIONS crystal
Hg 0.000 0.000 0.000
Be 0.750 0.750 0.750
B 0.250 0.250 0.250
! Total energy: -7.4 eV/cell
! Offset from the most stable computed form: 269 meV/atom

No. 4
! Ho4Pb2C GGA-PBE optimized geometry; values from VASP
&SYSTEM
  ibrav = 0, nat = 7, ntyp = 3
/
ATOMIC_SPECIES
C 12.01 C.upf
Pb 207.20 Pb.upf
Ho 164.93 Ho.upf
CELL_PARAMETERS angstrom
6.652 3.053 -4.696
2.616 7.965 -2.312
-2.739 -5.316 6.314
ATOMIC_POSITIONS crystal
C 0.000 0.000 0.000
Pb 0.643 0.643 0.000
Pb 0.357 0.357 0.000
Ho 0.843 0.843 0.000
Ho 0.157 0.157 0.000
Ho 0.000 0.500 0.500
Ho 0.500 0.000 0.500
! Total energy: -38.8 eV/cell

No. 5
! NpBeTe GGA-PBE optimized geometry; values from VASP
&SYSTEM
  ibrav = 0, nat = 3, ntyp = 3
/
ATOMIC_SPECIES
Be 9.01 Be.upf
Np 237.00 Np.upf
Te 127.60 Te.upf
CELL_PARAMETERS angstrom
0.983 2.943 3.487
-1.171 4.506 -0.348
-3.443 1.728 2.637
ATOMIC_POSITIONS crystal
Be 0.250 0.250 0.250
Np 0.750 0.750 0.750
Te 0.000 0.000 0.000
! Total energy: -17.6 eV/cell
! Offset from the most stable computed form: 472 meV/atom

No. 6
! GdYAg6 GGA-PBE optimized geometry; values from VASP
&SYSTEM
  ibrav = 0, nat = 8, ntyp = 3
/
ATOMIC_SPECIES
Ag 107.87 Ag.upf
Y 88.91 Y.upf
Gd 157.25 Gd.upf
CELL_PARAMETERS angstrom
-4.567 1.183 1.725
-1.166 -5.946 0.993
1.935 0.427 4.828
ATOMIC_POSITIONS crystal
Ag 0.000 0.254 0.341
Ag 0.000 0.500 0.816
Ag 0.500 0.244 0.660
Ag 0.500 0.000 0.181
Ag 0.500 0.756 0.660
Ag 0.000 0.746 0.341
Y 0.000 0.000 0.846
Gd 0.500 0.500 0.154
! Total energy: -30.2 eV/cell

No. 7
! CsAg3GeO4 GGA-PBE optimized geometry; values from VASP
&SYSTEM
  ibrav = 0, nat = 9, ntyp = 4
/
ATOMIC_SPECIES
Cs 132.91 Cs.upf
Ge 72.64 Ge.upf
Ag 107.87 Ag.upf
O 16.00 O.upf
CELL_PARAMETERS angstrom
-4.520 -2.107 2.906
-1.543 -3.079 -4.632
3.241 -4.404 1.848
ATOMIC_POSITIONS crystal
Cs 0.000 0.000 0.000
Ge 0.500 0.500 0.500
Ag 0.000 0.500 0.500
Ag 0.500 0.000 0.500
Ag 0.500 0.500 0.000
O 0.320 0.320 0.320
O 0.680 0.320 0.680
O 0.320 0.680 0.680
O 0.680 0.680 0.320
! Total energy: -40.8 eV/cell

No. 8
! GdSiHO4 GGA-PBE optimized geometry; values from VASP
&SYSTEM
  ibrav = 0, nat = 84, ntyp = 4
/
ATOMIC_SPECIES
Si 28.09 Si.upf
O 16.00 O.upf
H 1.01 H.upf
Gd 157.25 Gd.upf
CELL_PARAMETERS angstrom
6.551 2.309 -11.010
12.918 -6.273 6.371
-1.157 -3.916 -1.510
ATOMIC_POSITIONS crystal
Si 0.159 0.914 0.217
Si 0.841 0.414 0.783
Si 0.659 0.914 0.283
Si 0.341 0.086 0.717
Si 0.122 0.250 0.234
Si 0.341 0.414 0.717
Si 0.878 0.750 0.766
Si 0.159 0.586 0.217
Si 0.622 0.250 0.266
Si 0.378 0.750 0.734
Si 0.841 0.086 0.783
Si 0.659 0.586 0.283
O 0.192 0.615 0.874
O 0.923 0.008 0.729
O 0.231 0.429 0.900
O 0.192 0.885 0.874
O 0.364 0.750 0.105
O 0.088 0.833 0.332
O 0.447 0.835 0.663
O 0.808 0.115 0.126
O 0.588 0.833 0.168
O 0.233 0.250 0.063
O 0.412 0.333 0.832
O 0.053 0.335 0.163
O 0.269 0.929 0.400
O 0.423 0.492 0.771
O 0.731 0.071 0.600
O 0.577 0.992 0.229
O 0.136 0.250 0.605
O 0.308 0.115 0.374
O 0.864 0.750 0.395
O 0.636 0.250 0.895
O 0.733 0.250 0.437
O 0.767 0.750 0.937
O 0.912 0.333 0.668
O 0.588 0.667 0.168
O 0.692 0.885 0.626
O 0.692 0.615 0.626
O 0.947 0.835 0.837
O 0.077 0.992 0.271
O 0.912 0.167 0.668
O 0.447 0.665 0.663
O 0.923 0.492 0.729
O 0.077 0.508 0.271
O 0.412 0.167 0.832
O 0.577 0.508 0.229
O 0.053 0.165 0.163
O 0.553 0.165 0.337
O 0.769 0.571 0.100
O 0.088 0.667 0.332
O 0.769 0.929 0.100
O 0.308 0.385 0.374
O 0.731 0.429 0.600
O 0.231 0.071 0.900
O 0.947 0.665 0.837
O 0.269 0.571 0.400
O 0.267 0.750 0.563
O 0.553 0.335 0.337
O 0.808 0.385 0.126
O 0.423 0.008 0.771
H 0.746 0.586 0.862
H 0.713 0.250 0.669
H 0.246 0.586 0.638
H 0.754 0.414 0.362
H 0.213 0.250 0.832
H 0.246 0.914 0.638
H 0.746 0.914 0.862
H 0.787 0.750 0.168
H 0.254 0.414 0.138
H 0.754 0.086 0.362
H 0.254 0.086 0.138
H 0.287 0.750 0.331
Gd 0.610 0.750 0.698
Gd 0.069 0.097 0.661
Gd 0.569 0.403 0.839
Gd 0.569 0.097 0.839
Gd 0.431 0.903 0.161
Gd 0.390 0.250 0.302
Gd 0.431 0.597 0.161
Gd 0.069 0.403 0.661
Gd 0.931 0.597 0.339
Gd 0.890 0.250 0.198
Gd 0.931 0.903 0.339
Gd 0.110 0.750 0.802
! Total energy: -621.7 eV/cell
! Offset from the most stable computed form: 71 meV/atom

No. 9
! AcErB4 GGA-PBE optimized geometry; values from VASP
&SYSTEM
  ibrav = 0, nat = 6, ntyp = 3
/
ATOMIC_SPECIES
Ac 227.00 Ac.upf
B 10.81 B.upf
Er 167.26 Er.upf
CELL_PARAMETERS angstrom
-3.181 0.173 0.942
1.471 -2.959 -0.347
2.387 0.248 8.013
ATOMIC_POSITIONS crystal
Ac 0.000 0.000 0.000
B 0.333 0.667 0.722
B 0.333 0.667 0.278
B 0.667 0.333 0.278
B 0.667 0.333 0.722
Er 0.000 0.000 0.500
! Total energy: -37.0 eV/cell
! Offset from the most stable computed form: 0 meV/atom

No. 10
! YTeAuO GGA-PBE optimized geometry; values from VASP
&SYSTEM
  ibrav = 0, nat = 8, ntyp = 4
/
ATOMIC_SPECIES
Te 127.60 Te.upf
O 16.00 O.upf
Au 196.97 Au.upf
Y 88.91 Y.upf
CELL_PARAMETERS angstrom
1.852 1.171 -3.404
-0.102 3.840 1.277
9.208 -1.275 4.571
ATOMIC_POSITIONS crystal
Te 0.123 0.377 0.722
Te 0.623 0.877 0.278
O 0.122 0.878 0.000
O 0.622 0.378 0.000
Au 0.373 0.627 0.500
Au 0.873 0.127 0.500
Y 0.122 0.378 0.103
Y 0.622 0.878 0.897
! Total energy: -49.9 eV/cell
! Offset from the most stable computed form: 0 meV/atom

No. 11
! ZrAuNO GGA-PBE optimized geometry; values from VASP
&SYSTEM
  ibrav = 0, nat = 16, ntyp = 4
/
ATOMIC_SPECIES
Zr 91.22 Zr.upf
O 16.00 O.upf
N 14.01 N.upf
Au 196.97 Au.upf
CELL_PARAMETERS angstrom
5.824 0.000 0.000
0.000 5.989 0.000
0.000 0.000 7.407
ATOMIC_POSITIONS crystal
Zr 0.923 0.658 0.655
Zr 0.923 0.158 0.345
Zr 0.423 0.842 0.655
Zr 0.423 0.342 0.345
O 0.087 0.406 0.473
O 0.087 0.906 0.527
O 0.587 0.594 0.527
O 0.587 0.094 0.473
N 0.712 0.396 0.189
N 0.712 0.896 0.811
N 0.212 0.604 0.811
N 0.212 0.104 0.189
Au 0.981 0.492 0.020
Au 0.481 0.508 0.980
Au 0.481 0.008 0.020
Au 0.981 0.992 0.980
! Total energy: -119.4 eV/cell
! Offset from the most stable computed form: 205 meV/atom

No. 12
! Li2Mg2Ge2IrPt GGA-PBE optimized geometry; values from VASP
&SYSTEM
  ibrav = 0, nat = 8, ntyp = 5
/
ATOMIC_SPECIES
Li 6.94 Li.upf
Mg 24.30 Mg.upf
Ge 72.64 Ge.upf
Pt 195.08 Pt.upf
Ir 192.22 Ir.upf
CELL_PARAMETERS angstrom
4.380 0.000 0.000
0.000 4.380 0.000
0.000 0.000 6.226
ATOMIC_POSITIONS crystal
Li 0.500 0.500 0.000
Li 0.000 0.000 0.500
Mg 0.500 0.000 0.251
Mg 0.000 0.500 0.749
Ge 0.000 0.500 0.236
Ge 0.500 0.000 0.764
Pt 0.500 0.500 0.500
Ir 0.000 0.000 0.000
! Total energy: -35.3 eV/cell